# 1
7
Lattice="3.5671 0.0000 0.0000 -1.7836 4.9860 0.7196 0.0000 -0.3850 7.3508" Properties=species:S:1:pos:R:3 comment="PBE Ti2Nb3Sn2, optimized geometry" rho_g_cm3=7.713 pbc="T T T"
Ti 0.0000 1.2229 4.4597
Ti 1.7836 3.3782 3.6108
Nb 0.0000 2.9416 1.4278
Nb 0.0000 0.0000 0.0000
Nb 1.7836 1.6594 6.6426
Sn 1.7836 0.7128 2.1971
Sn 0.0000 3.8883 5.8733

# 2
9
Lattice="-0.5029 3.0839 1.6917 -5.0765 1.6943 -0.8663 -4.7444 -2.9462 7.6918" Properties=species:S:1:pos:R:3 comment="PBE Ti3Nb4Sn2, optimized geometry" rho_g_cm3=7.496 pbc="T T T"
Ti -6.6234 0.7707 4.0891
Ti 0.0000 0.0000 0.0000
Ti -3.7004 1.0614 4.4282
Nb -3.7304 2.7049 1.4233
Nb -5.4214 1.6731 6.5330
Nb -4.9024 0.1590 1.9843
Nb -6.5934 -0.8727 7.0939
Sn -1.8303 0.5424 2.1986
Sn -8.4935 1.2897 6.3186

# 3
5
Lattice="-1.7745 1.5213 -4.4342 -1.0775 -4.7467 -1.1973 -4.5624 0.5293 2.0074" Properties=species:S:1:pos:R:3 comment="PBE TiNb3Sn, optimized geometry" rho_g_cm3=5.871 pbc="T T T"
Nb -0.5388 -2.3733 -0.5987
Nb -2.2812 0.2647 1.0037
Nb -0.8873 0.7607 -2.2171
Sn 0.0000 0.0000 0.0000
Ti -3.7072 -1.3480 -1.8120

no.,energy of formation from the pure elements (eV/atom)
1,-0.223
2,-0.163
3,1.647